1.
Material: KLi2Cl
Method: DFT, PBE
State: optimized geometry Values from VASP.

Cell and atoms, written as Quantum ESPRESSO input:
```
&SYSTEM
  ibrav = 0, nat = 4, ntyp = 3
/
ATOMIC_SPECIES
Cl 35.45 Cl.upf
K 39.10 K.upf
Li 6.94 Li.upf
CELL_PARAMETERS angstrom
4.380 0.000 0.000
0.000 4.380 0.000
0.000 0.000 6.425
ATOMIC_POSITIONS angstrom
Cl 2.190 2.190 1.606
K 2.190 2.190 4.819
Li 0.000 0.000 0.062
Li 0.000 0.000 3.151
```

=====

2.
Material: KLi6Cl8
Method: DFT, PBE
State: optimized geometry Values from VASP.

Cell and atoms, written as Quantum ESPRESSO input:
```
&SYSTEM
  ibrav = 0, nat = 15, ntyp = 3
/
ATOMIC_SPECIES
K 39.10 K.upf
Li 6.94 Li.upf
Cl 35.45 Cl.upf
CELL_PARAMETERS angstrom
-6.295 2.221 2.118
-2.104 -5.752 -3.396
1.988 -3.082 5.967
ATOMIC_POSITIONS angstrom
K 0.000 0.000 0.000
Li -3.408 -3.149 5.255
Li -2.682 -6.161 2.000
Li -6.032 -3.191 1.607
Li -3.004 -3.464 -0.567
Li -3.731 -0.452 2.688
Li -0.380 -3.422 3.081
Cl -4.024 -4.150 2.942
Cl -2.388 -2.463 1.746
Cl -5.370 -3.855 -0.583
Cl -4.302 -0.960 4.961
Cl -0.627 -5.806 3.153
Cl -1.042 -2.758 5.272
Cl -2.110 -5.653 -0.272
Cl -5.785 -0.807 1.536
```

=====

3.
Material: KLiCl2
Method: DFT, PBE
State: optimized geometry Values from VASP.

Cell and atoms, written as Quantum ESPRESSO input:
```
&SYSTEM
  ibrav = 0, nat = 4, ntyp = 3
/
ATOMIC_SPECIES
K 39.10 K.upf
Li 6.94 Li.upf
Cl 35.45 Cl.upf
CELL_PARAMETERS angstrom
3.966 0.000 0.000
1.983 3.434 0.000
1.983 1.145 7.029
ATOMIC_POSITIONS angstrom
K 3.966 2.290 3.539
Li 5.948 3.434 6.992
Cl 1.983 1.145 5.609
Cl 1.983 1.145 1.432
```

=====

4.
Material: KLiCl2
Method: DFT, PBE
State: optimized geometry Values from VASP.

Cell and atoms, written as Quantum ESPRESSO input:
```
&SYSTEM
  ibrav = 0, nat = 4, ntyp = 3
/
ATOMIC_SPECIES
K 39.10 K.upf
Li 6.94 Li.upf
Cl 35.45 Cl.upf
CELL_PARAMETERS angstrom
0.000 3.613 3.613
3.613 0.000 3.613
3.613 3.613 0.000
ATOMIC_POSITIONS angstrom
K 3.613 3.613 3.613
Li 0.000 0.000 0.000
Cl 1.806 1.806 1.806
Cl 5.419 5.419 5.419
```

=====

5.
Material: KLi2Cl
Method: DFT, PBE
State: optimized geometry Values from VASP.

Cell and atoms, written as Quantum ESPRESSO input:
```
&SYSTEM
  ibrav = 0, nat = 4, ntyp = 3
/
ATOMIC_SPECIES
Cl 35.45 Cl.upf
K 39.10 K.upf
Li 6.94 Li.upf
CELL_PARAMETERS angstrom
-5.291 1.513 -3.762
-6.466 1.525 -0.543
-1.044 5.402 -0.402
ATOMIC_POSITIONS angstrom
Cl -9.602 6.330 -3.530
K -3.201 2.110 -1.177
Li -1.770 5.244 -0.666
Li -5.676 4.378 -2.089
```

=====

6.
Material: KLiCl4
Method: DFT, PBE
State: optimized geometry Values from VASP.

Cell and atoms, written as Quantum ESPRESSO input:
```
&SYSTEM
  ibrav = 0, nat = 6, ntyp = 3
/
ATOMIC_SPECIES
K 39.10 K.upf
Li 6.94 Li.upf
Cl 35.45 Cl.upf
CELL_PARAMETERS angstrom
3.874 -1.016 4.707
3.162 4.701 2.469
-1.413 2.039 5.661
ATOMIC_POSITIONS angstrom
K 4.218 4.293 9.628
Li 0.000 0.000 0.000
Cl 4.048 1.637 7.168
Cl 1.400 3.167 7.646
Cl 3.691 4.500 6.048
Cl 2.108 2.145 4.811
```

=====

7.
Material: KLi2Cl2
Method: DFT, PBE
State: optimized geometry Values from VASP.

Cell and atoms, written as Quantum ESPRESSO input:
```
&SYSTEM
  ibrav = 0, nat = 5, ntyp = 3
/
ATOMIC_SPECIES
K 39.10 K.upf
Li 6.94 Li.upf
Cl 35.45 Cl.upf
CELL_PARAMETERS angstrom
4.352 0.000 0.000
0.000 4.352 0.000
2.176 2.176 10.419
ATOMIC_POSITIONS angstrom
K 0.000 0.000 0.000
Li 4.352 2.176 5.210
Li 2.176 4.352 5.210
Cl 2.176 2.176 4.199
Cl 4.352 4.352 6.221
```

=====

8.
Material: K2LiLuCl6
Method: DFT, PBE
State: optimized geometry Values from VASP.

Cell and atoms, written as Quantum ESPRESSO input:
```
&SYSTEM
  ibrav = 0, nat = 10, ntyp = 4
/
ATOMIC_SPECIES
K 39.10 K.upf
Li 6.94 Li.upf
Lu 174.97 Lu.upf
Cl 35.45 Cl.upf
CELL_PARAMETERS angstrom
-2.337 6.873 0.363
-5.787 2.080 -3.875
-6.260 1.537 3.358
ATOMIC_POSITIONS angstrom
K -10.788 7.867 -0.116
K -3.596 2.622 -0.039
Li -7.192 5.245 -0.077
Lu 0.000 0.000 0.000
Cl -4.766 6.058 0.143
Cl -6.727 3.392 1.639
Cl -9.618 4.432 -0.297
Cl -6.490 3.664 -1.975
Cl -7.894 6.826 1.820
Cl -7.658 7.098 -1.793
```

=====

9.
Material: K3LiMg2Cl8
Method: DFT, PBE
State: optimized geometry Values from VASP.

Cell and atoms, written as Quantum ESPRESSO input:
```
&SYSTEM
  ibrav = 0, nat = 14, ntyp = 4
/
ATOMIC_SPECIES
K 39.10 K.upf
Li 6.94 Li.upf
Mg 24.30 Mg.upf
Cl 35.45 Cl.upf
CELL_PARAMETERS angstrom
-5.409 -0.055 -4.747
3.196 -6.167 1.885
-5.882 -0.997 6.713
ATOMIC_POSITIONS angstrom
K -3.310 -4.746 3.826
K -4.785 -2.472 0.025
K 0.000 0.000 0.000
Li -2.941 -0.498 3.357
Mg -0.896 -4.337 1.071
Mg -7.199 -2.881 2.780
Cl -5.279 -5.079 6.073
Cl -2.816 -2.139 -2.222
Cl -0.102 -5.490 2.962
Cl -7.994 -1.729 0.889
Cl -1.732 -2.344 2.000
Cl -6.363 -4.875 1.851
Cl -2.861 -5.517 0.540
Cl -5.234 -1.701 3.311
```

=====

10.
Material: K2LiMgCl5
Method: DFT, PBE
State: optimized geometry Values from VASP.

Cell and atoms, written as Quantum ESPRESSO input:
```
&SYSTEM
  ibrav = 0, nat = 18, ntyp = 4
/
ATOMIC_SPECIES
K 39.10 K.upf
Li 6.94 Li.upf
Mg 24.30 Mg.upf
Cl 35.45 Cl.upf
CELL_PARAMETERS angstrom
3.942 0.000 0.000
-1.971 8.989 0.000
0.000 0.000 13.339
ATOMIC_POSITIONS angstrom
K 1.971 6.612 10.801
K 0.000 1.805 8.920
K 0.000 2.376 4.131
K 1.971 7.184 2.250
Li 1.971 1.193 12.560
Li 0.000 7.796 5.891
Mg 1.971 5.183 6.989
Mg 0.000 3.806 0.320
Cl 0.000 6.240 13.336
Cl 1.971 3.535 11.958
Cl 1.971 0.049 10.552
Cl 0.000 5.035 8.698
Cl 1.971 7.701 7.213
Cl 1.971 2.749 6.667
Cl 0.000 5.454 5.288
Cl 0.000 8.940 3.882
Cl 1.971 3.954 2.028
Cl 0.000 1.288 0.544
```

=====

11.
Material: KLi2MgCl
Method: DFT, PBE
State: optimized geometry Values from VASP.

Cell and atoms, written as Quantum ESPRESSO input:
```
&SYSTEM
  ibrav = 0, nat = 5, ntyp = 4
/
ATOMIC_SPECIES
K 39.10 K.upf
Li 6.94 Li.upf
Mg 24.30 Mg.upf
Cl 35.45 Cl.upf
CELL_PARAMETERS angstrom
-4.689 2.584 0.918
-2.678 -3.561 -3.656
-1.072 -3.401 4.098
ATOMIC_POSITIONS angstrom
K -4.220 -2.189 0.680
Li -0.536 -1.700 2.049
Li -2.345 1.292 0.459
Mg 0.000 0.000 0.000
Cl -1.339 -1.780 -1.828
```

=====

12.
Material: K2LiMnCl6
Method: DFT, PBE
State: optimized geometry Values from VASP.

Cell and atoms, written as Quantum ESPRESSO input:
```
&SYSTEM
  ibrav = 0, nat = 10, ntyp = 4
/
ATOMIC_SPECIES
K 39.10 K.upf
Li 6.94 Li.upf
Mn 54.94 Mn.upf
Cl 35.45 Cl.upf
CELL_PARAMETERS angstrom
-4.328 0.281 -5.487
-2.105 -6.538 1.325
-0.456 4.916 5.069
ATOMIC_POSITIONS angstrom
K -3.997 1.030 -1.251
K -2.886 -2.379 2.155
Li -3.218 -3.131 -2.080
Mn -0.001 -0.003 0.001
Cl -4.935 -4.812 -3.185
Cl -4.984 -2.272 -0.642
Cl -1.956 3.464 4.092
Cl -3.820 -1.316 -3.906
Cl -1.907 0.924 1.549
Cl -3.071 -0.032 4.813
```

=====

Q: Which energy relative to the elements, uncorrected values were calculated for the entries above? A: -1.8 -24.5 -7.2 -6.5 -2.8 -3.5 -6.8 -20.7 -26.0 -17.0 -1.2 -15.3, in eV per formula unit.